(1)
Material: Ba4Ce2In2O11
Method: DFT, PBE
State: relaxed

Output
Its formation energy without anion corrections is -2.619 eV per atom. As for the total DFT energy (no corrections): -6.807 eV per atom. For the total moment, the calculation gives 0.00 Bohr magnetons per cell. The space group is Pm (6).

```
19
Lattice="6.124 0.000 0.000 0.000 8.877 0.000 -0.008 0.000 6.151" Properties=species:S:1:pos:R:3 pbc="T T T"
Ba 0.000 0.000 0.000
Ba 0.000 4.439 5.917
Ba 3.038 0.000 2.872
Ba 3.062 4.439 2.970
Ce 3.058 2.255 5.989
Ce 3.058 6.622 5.989
In 0.000 2.027 3.001
In 0.000 6.850 3.001
O 0.078 0.000 3.506
O 1.476 2.033 1.408
O 1.476 6.845 1.408
O 1.501 2.711 4.399
O 1.501 6.166 4.399
O 3.046 0.000 5.604
O 3.108 4.439 0.278
O 4.624 1.970 1.430
O 4.624 6.907 1.430
O 4.626 2.683 4.405
O 4.626 6.194 4.405
```

***

(2)
Material: Ba2CeInO6
Method: DFT, PBE
State: relaxed

Output
Its formation energy without anion corrections is -2.462 eV per atom. As for the total DFT energy (no corrections): -6.689 eV per atom. For the total moment, the calculation gives 0.92 Bohr magnetons per cell. The space group is Fm-3m (225).

```
10
Lattice="0.000 4.360 4.360 4.360 0.000 4.360 4.360 4.360 0.000" Properties=species:S:1:pos:R:3 pbc="T T T"
Ba 2.180 2.180 2.180
Ba 6.541 6.541 6.541
Ce 0.000 0.000 0.000
In 4.360 4.360 4.360
O 4.360 4.360 2.199
O 4.360 2.199 4.360
O 6.522 4.360 4.360
O 2.199 4.360 4.360
O 4.360 6.522 4.360
O 4.360 4.360 6.522
```

***

(3)
Material: BaCe2InP4
Method: DFT, PBE
State: relaxed

Output
The energy relative to the elements comes out at -1.02 eV per atom. As for the total DFT energy (no corrections): -5.788 eV per atom. For the total moment, the calculation gives 2.08 Bohr magnetons per cell. The space group is Cmcm (63).

```
16
Lattice="2.114 -7.163 0.000 2.114 7.163 0.000 0.000 0.000 14.227" Properties=species:S:1:pos:R:3 pbc="T T T"
Ba 2.114 5.477 10.671
Ba 2.114 -5.477 3.557
Ce 2.114 1.846 7.862
Ce 2.114 1.846 13.479
Ce 2.114 -1.846 0.748
Ce 2.114 -1.846 6.365
In 2.114 4.976 3.557
In 2.114 -4.976 10.671
P 0.000 0.000 0.000
P 0.000 0.000 7.114
P 2.114 3.449 1.548
P 2.114 3.449 5.566
P 2.114 0.743 10.671
P 2.114 -0.743 3.557
P 2.114 -3.449 8.662
P 2.114 -3.449 12.680
```

***

(4)
Material: BaCeInPb
Method: DFT, PBE
State: relaxed

Output
The energy relative to the elements comes out at -0.29 eV per atom. As for the total DFT energy (no corrections): -3.862 eV per atom. For the total moment, the calculation gives 1.11 Bohr magnetons per cell. The space group is F-43m (216).

```
4
Lattice="0.000 4.099 4.099 4.099 0.000 4.099 4.099 4.099 0.000" Properties=species:S:1:pos:R:3 pbc="T T T"
Ba 0.000 0.000 0.000
Ce 4.099 4.099 4.099
In 6.149 6.149 6.149
Pb 2.050 2.050 2.050
```

***

(5)
Material: BaCeIn2Pb2
Method: DFT, PBE
State: relaxed

Output
The energy relative to the elements comes out at -0.35 eV per atom. As for the total DFT energy (no corrections): -3.811 eV per atom. For the total moment, the calculation gives 0.77 Bohr magnetons per cell. The space group is P-3m1 (164).

```
6
Lattice="4.874 0.000 0.000 -2.437 4.221 0.000 0.000 0.000 10.005" Properties=species:S:1:pos:R:3 pbc="T T T"
Ba 0.000 0.000 0.000
Ce 0.000 0.000 5.003
In 0.000 2.814 7.842
In 2.437 1.407 2.163
Pb 0.000 2.814 3.341
Pb 2.437 1.407 6.664
```

***

(6)
Material: Ba2CeIn2Sb4
Method: DFT, PBE
State: relaxed

Output
Its formation energy without anion corrections is -0.690 eV per atom. As for the total DFT energy (no corrections): -4.218 eV per atom. For the total moment, the calculation gives 0.89 Bohr magnetons per cell. The space group is C2/m (12).

```
9
Lattice="8.428 -2.363 0.000 8.428 2.363 0.000 -2.666 0.000 7.858" Properties=species:S:1:pos:R:3 pbc="T T T"
Ba 1.953 0.000 0.608
Ba 12.237 0.000 7.250
Ce -1.333 0.000 3.929
In 4.267 0.000 4.087
In 9.923 0.000 3.771
Sb 1.552 0.000 5.567
Sb 7.729 0.000 1.835
Sb 6.461 0.000 6.024
Sb 12.637 0.000 2.292
```

***

(7)
Material: Ba2CeInSe5
Method: DFT, PBE
State: relaxed

Output
Its formation energy without anion corrections is -1.604 eV per atom. As for the total DFT energy (no corrections): -4.931 eV per atom. For the total moment, the calculation gives 1.75 Bohr magnetons per cell. The space group is Cmc2_1 (36).

```
18
Lattice="2.209 -9.635 0.000 2.209 9.635 0.000 0.000 0.000 13.436" Properties=species:S:1:pos:R:3 pbc="T T T"
Ba 2.209 7.407 6.718
Ba 2.209 7.152 1.798
Ba 2.209 -7.152 8.516
Ba 2.209 -7.407 0.000
Ce 2.209 5.602 11.233
Ce 2.209 -5.602 4.515
In 2.209 1.007 3.485
In 2.209 -1.007 10.203
Se 2.209 8.694 11.700
Se 2.209 4.037 6.456
Se 2.209 3.579 2.487
Se 2.209 2.748 11.014
Se 2.209 0.076 7.871
Se 2.209 -0.076 1.153
Se 2.209 -2.748 4.296
Se 2.209 -3.579 9.205
Se 2.209 -4.037 13.174
Se 2.209 -8.694 4.982
```

***

(8)
Material: BaCeIn2Se4
Method: DFT, PBE
State: relaxed

Output
Its formation energy without anion corrections is -1.192 eV per atom. As for the total DFT energy (no corrections): -4.601 eV per atom. For the total moment, the calculation gives 0.34 Bohr magnetons per cell. The space group is P2/m (10).

```
8
Lattice="7.832 0.000 0.000 0.000 4.427 0.000 -2.537 0.000 7.426" Properties=species:S:1:pos:R:3 pbc="T T T"
Ba 0.000 0.000 0.000
Ce -1.268 2.214 3.713
In 2.648 0.000 3.713
In 3.916 2.214 0.000
Se -0.061 0.000 5.278
Se 1.115 2.214 2.098
Se 4.180 2.214 5.328
Se 5.356 0.000 2.148
```

***

(9)
Material: BaCeIn2Sn2
Method: DFT, PBE
State: relaxed

Output
The energy relative to the elements comes out at -0.46 eV per atom. As for the total DFT energy (no corrections): -4.020 eV per atom. For the total moment, the calculation gives 0.71 Bohr magnetons per cell. The space group is P-3m1 (164).

```
6
Lattice="4.747 0.000 0.000 -2.373 4.111 0.000 0.000 0.000 10.115" Properties=species:S:1:pos:R:3 pbc="T T T"
Ba 0.000 0.000 0.000
Ce 0.000 0.000 5.058
In 0.000 2.740 7.873
In 2.373 1.370 2.243
Sn 0.000 2.740 3.347
Sn 2.373 1.370 6.768
```

***

(10)
Material: BaCeInSn
Method: DFT, PBE
State: relaxed

Output
The energy relative to the elements comes out at -0.34 eV per atom. As for the total DFT energy (no corrections): -3.993 eV per atom. For the total moment, the calculation gives 1.12 Bohr magnetons per cell. The space group is F-43m (216).

```
4
Lattice="0.000 4.056 4.056 4.056 0.000 4.056 4.056 4.056 0.000" Properties=species:S:1:pos:R:3 pbc="T T T"
Ba 0.000 0.000 0.000
Ce 4.056 4.056 4.056
In 6.084 6.084 6.084
Sn 2.028 2.028 2.028
```

***

(11)
Material: BaCeTlIn
Method: DFT, PBE
State: relaxed

Output
The energy relative to the elements comes out at -0.22 eV per atom. As for the total DFT energy (no corrections): -3.455 eV per atom. For the total moment, the calculation gives 1.18 Bohr magnetons per cell. The space group is F-43m (216).

```
4
Lattice="0.000 4.092 4.092 4.092 0.000 4.092 4.092 4.092 0.000" Properties=species:S:1:pos:R:3 pbc="T T T"
Ba 0.000 0.000 0.000
Ce 4.092 4.092 4.092
Tl 6.138 6.138 6.138
In 2.046 2.046 2.046
```

***

(12)
Material: BaCeZnIn
Method: DFT, PBE
State: relaxed

Output
The energy relative to the elements comes out at -0.12 eV per atom. As for the total DFT energy (no corrections): -3.090 eV per atom. For the total moment, the calculation gives 1.25 Bohr magnetons per cell. The space group is F-43m (216).

```
4
Lattice="0.000 3.991 3.991 3.991 0.000 3.991 3.991 3.991 0.000" Properties=species:S:1:pos:R:3 pbc="T T T"
Ba 0.000 0.000 0.000
Ce 3.991 3.991 3.991
Zn 1.996 1.996 1.996
In 5.987 5.987 5.987
```